Crystalline LaReNi at its relaxed geometry, computed with PBEsol.

Summary:
crystal system: cubic
spin magnetization: 1.9 μB per formula unit
E_tot: -6.758 eV per atom
DOS at the Fermi energy: 2.73 states/eV/cell
energy relative to the elements: 1.520 eV/atom
space-group type: F-43m (216)

Structure (CIF):
```
data_LaReNi
_chemical_formula_sum 'La1 Re1 Ni1'
_space_group_name_H-M_alt 'P 1'
_space_group_IT_number 1
_space_group_name_Hall 'P 1'
_cell_length_a 4.424
_cell_length_b 4.424
_cell_length_c 4.424
_cell_angle_alpha 60.00
_cell_angle_beta 60.00
_cell_angle_gamma 60.00
loop_
_atom_site_label
_atom_site_fract_x
_atom_site_fract_y
_atom_site_fract_z
Re1 0.500 0.500 0.500
La1 0.250 0.250 0.250
Ni1 0.000 0.000 0.000
```